Na2MgCd16 | PBE-GGA | relaxed

ΔH_f (0 K), meV/atom: -37

Cell: 7.7769 7.7769 7.7769 Å, 82.42 82.42 82.42°
Closest atoms and distances in Å follow each position.
Sites, in units of the cell vectors:
1 Na 0.6601 0.6601 0.6601  15 Cd 3.57-3.93, 1 Mg 3.73
2 Na 0.3410 0.3410 0.3410  16 Cd 3.53-3.92
3 Mg 0.9067 0.9067 0.9067  13 Cd 3.04-3.37
4 Cd 0.6997 0.9990 0.2985  8 Cd 2.96-3.24
5 Cd 0.9990 0.2985 0.6997  8 Cd 2.96-3.24
6 Cd 0.2985 0.6997 0.9990  8 Cd 2.96-3.24
7 Cd 0.9990 0.6997 0.2985  8 Cd 2.96-3.24
8 Cd 0.6997 0.2985 0.9990  8 Cd 2.96-3.24
9 Cd 0.2985 0.9990 0.6997  8 Cd 2.96-3.24
10 Cd 0.3574 0.8403 0.3574  9 Cd 2.95-3.28
11 Cd 0.8403 0.3574 0.3574  9 Cd 2.95-3.28
12 Cd 0.3574 0.3574 0.8403  9 Cd 2.95-3.28
13 Cd 0.6436 0.1494 0.6436  8 Cd 2.95-3.24
14 Cd 0.1494 0.6436 0.6436  8 Cd 2.95-3.24
15 Cd 0.6436 0.6436 0.1494  8 Cd 2.95-3.24
16 Cd 0.9983 0.5019 0.9983  9 Cd 2.96-3.11, 1 Mg 3.14
17 Cd 0.5019 0.9983 0.9983  9 Cd 2.96-3.11, 1 Mg 3.14
18 Cd 0.9983 0.9983 0.5019  9 Cd 2.96-3.11, 1 Mg 3.14
19 Cd 0.1076 0.1076 0.1076  1 Mg 3.04, 6 Cd 3.11-3.28

---

RbNa2TeF | PBE-GGA | relaxed

Uncorrected formation energy, eV per atom: -1.551

Cell: 5.0306 5.0306 5.2832 Å, 90.00 90.00 90.00°
Closest atoms and distances in Å follow each position.
Sites, in units of the cell vectors:
1 Na 0.0000 0.5000 0.0000  2 F 2.52
2 Na 0.5000 0.0000 0.0000  2 F 2.52
3 Te 0.5000 0.5000 0.5000  4 Rb 3.56, 8 Na 3.65
4 Rb 0.0000 0.0000 0.5000  2 F 2.64
5 F 0.0000 0.0000 0.0000  4 Na 2.52, 2 Rb 2.64

---

For reference, mass density by record: 6.8; 3.5 g/cm³.